1.
Computed, not measured: a relaxed HOsBrF crystal at the PBE-GGA level of DFT.

a b c (Å): 2.715 3.289 14.139
angles (deg): 90.00 90.00 90.00
Space group Imm2 (No. 44)
Inequivalent atoms, fractional coordinates:
1 H 0.000 0.000 0.000 x2
2 Os 0.000 0.500 0.039 x2
3 Br 0.000 0.500 0.866 x2
4 F 0.000 0.500 0.175 x2

Calculated values
ρ, g cm⁻³: 7.6
Fermi-level density of states, states/eV/f.u.: 3.45
Energy relative to the lowest polymorph listed for this composition, meV/atom: 106
Crystal system: orthorhombic

---

2.
Computed, not measured: a relaxed Ba3In6SnGe2 crystal at the PBE-GGA level of DFT.

a b c (Å): 7.1968 7.1968 9.2090
angles (deg): 90.00 90.00 120.00
Space group P-3m1 (No. 164)
Inequivalent atoms, fractional coordinates:
1 Ba 0.0000 0.0000 0.0000 x1
2 Ba 0.3333 0.6667 0.6816 x2
3 In 0.1927 0.3853 0.3021 x6
4 Sn 0.0000 0.0000 0.5000 x1
5 Ge 0.3333 0.6667 0.0469 x2

Calculated values
ΔE_f, eV/atom: -0.0796
ρ, g cm⁻³: 5.5
Fermi-level density of states, states/eV/f.u.: 9.13
Crystal system: trigonal

---

3.
Computed, not measured: a relaxed LiLa4Ru crystal at the PBE-GGA level of DFT.

a b c (Å): 8.919 8.919 8.919
angles (deg): 90.00 90.00 90.00
Space group F-43m (No. 216)
Inequivalent atoms, fractional coordinates:
1 Li 0.000 0.000 0.000 x4
2 La 0.123 0.123 0.377 x16
3 Ru 0.250 0.250 0.750 x4

Calculated values
ΔE_f, eV/atom: 0.7547
ρ, g cm⁻³: 6.2
Fermi-level density of states, states/eV/f.u.: 10.81
Energy relative to the lowest polymorph listed for this composition, meV/atom: 785
Crystal system: cubic

---

4.
Computed, not measured: a relaxed GaSeBr2N crystal at the PBE-GGA level of DFT.

a b c (Å): 5.848 5.848 3.787
angles (deg): 90.00 90.00 90.00
Space group P4/mmm (No. 123)
Inequivalent atoms, fractional coordinates:
1 Ga 0.000 0.000 0.000 x1
2 Se 0.500 0.500 0.000 x1
3 Br 0.000 0.500 0.500 x2
4 N 0.500 0.500 0.500 x1

Calculated values
ΔE_f (raw), eV per atom: 0.69
ρ, g cm⁻³: 4.1
Fermi-level density of states, states/eV/f.u.: 3.03
Energy relative to the lowest polymorph listed for this composition, meV/atom: 0
Crystal system: tetragonal

---

5.
Computed, not measured: a relaxed Ni2HgW crystal at the PBE-GGA level of DFT.

a b c (Å): 2.749 4.504 9.436
angles (deg): 90.00 90.00 90.00
Space group Imm2 (No. 44)
Inequivalent atoms, fractional coordinates:
1 Ni 0.000 0.000 0.000 x2
2 Ni 0.000 0.500 0.278 x2
3 Hg 0.000 0.000 0.515 x2
4 W 0.000 0.500 0.731 x2

Calculated values
ΔE_f, eV/atom: 0.4140
ρ, g cm⁻³: 14.3
Fermi-level density of states, states/eV/f.u.: 3.46
Crystal system: orthorhombic

---

6.
Computed, not measured: a relaxed Li2Mg5Ag crystal at the PBE-GGA level of DFT.

a b c (Å): 16.449 4.834 8.473
angles (deg): 90.00 90.00 90.00
Space group Pnma (No. 62)
Inequivalent atoms, fractional coordinates:
1 Li 0.072 0.250 0.105 x4
2 Li 0.146 0.250 0.447 x4
3 Mg 0.007 0.250 0.782 x4
4 Mg 0.056 0.750 0.576 x4
5 Mg 0.132 0.750 0.918 x4
6 Mg 0.167 0.750 0.265 x4
7 Mg 0.247 0.750 0.597 x4
8 Ag 0.170 0.250 0.766 x4

Calculated values
ΔE_f, eV/atom: -0.0572
ρ, g cm⁻³: 2.4
Fermi-level density of states, states/eV/f.u.: 3.39
Energy relative to the lowest polymorph listed for this composition, meV/atom: 22
Crystal system: orthorhombic